# Ta2TlTeS, optimized geometry, DFT GGA-PBEsol
# formation energy (no corrections) = 8.05 eV per formula unit
# crystal system = tetragonal
# calculated total energy = -5.52 eV/atom
data_Ta2TlTeS
_cell_length_a 5.0110
_cell_length_b 5.0947
_cell_length_c 5.0947
_cell_angle_alpha 90.00
_cell_angle_beta 90.00
_cell_angle_gamma 90.00
_symmetry_space_group_name_H-M 'P 1'
_symmetry_Int_Tables_number 1
_symmetry_space_group_name_Hall 'P 1'
loop_
_atom_site_label
_atom_site_type_symbol
_atom_site_fract_x
_atom_site_fract_y
_atom_site_fract_z
Tl1 Tl 0.5000 0.5000 0.5000
S1 S 0.5000 0.0000 0.0000
Ta1 Ta 0.0000 0.0000 0.5000
Ta2 Ta 0.0000 0.5000 0.0000
Te1 Te 0.0000 0.0000 0.0000

# BP2Pb2O9, optimized geometry, DFT GGA-PBEsol
# formation energy (no corrections) = -26.91 eV per formula unit
# crystal system = monoclinic
# calculated total energy = -7.20 eV/atom
data_BP2Pb2O9
_cell_length_a 5.4271
_cell_length_b 8.2223
_cell_length_c 15.8011
_cell_angle_alpha 90.00
_cell_angle_beta 88.68
_cell_angle_gamma 90.00
_symmetry_space_group_name_H-M 'P 1'
_symmetry_Int_Tables_number 1
_symmetry_space_group_name_Hall 'P 1'
loop_
_atom_site_label
_atom_site_type_symbol
_atom_site_fract_x
_atom_site_fract_y
_atom_site_fract_z
O1 O 0.4135 0.8896 0.8463
O2 O 0.4671 0.4419 0.9098
O3 O 0.8752 0.1965 0.7355
O4 O 0.2339 0.8196 0.7126
O5 O 0.6996 0.6933 0.4824
O6 O 0.5071 0.9252 0.5945
O7 O 0.9929 0.4252 0.9055
O8 O 0.7902 0.3711 0.1813
O9 O 0.0379 0.0378 0.1203
O10 O 0.2098 0.6289 0.8187
O11 O 0.2661 0.3196 0.7874
O12 O 0.9135 0.6104 0.3463
O13 O 0.3004 0.3067 0.5176
O14 O 0.2902 0.1289 0.6813
O15 O 0.1704 0.6072 0.5515
O16 O 0.3752 0.3035 0.2355
O17 O 0.5379 0.4622 0.6203
O18 O 0.0071 0.5748 0.0945
O19 O 0.0329 0.9419 0.5902
O20 O 0.3296 0.1072 0.9485
O21 O 0.1248 0.8035 0.2645
O22 O 0.8004 0.1933 0.0176
O23 O 0.1996 0.8067 0.9824
O24 O 0.9671 0.0581 0.4098
O25 O 0.4621 0.5378 0.3797
O26 O 0.0865 0.3896 0.6537
O27 O 0.7339 0.6804 0.2126
O28 O 0.8296 0.3928 0.4485
O29 O 0.5329 0.5581 0.0902
O30 O 0.4929 0.0748 0.4055
O31 O 0.7098 0.8711 0.3187
O32 O 0.5865 0.1104 0.1537
O33 O 0.7661 0.1804 0.2874
O34 O 0.6248 0.6965 0.7645
O35 O 0.6704 0.8928 0.0515
O36 O 0.9621 0.9622 0.8797
B1 B 0.6155 0.2439 0.2180
B2 B 0.8845 0.7439 0.2820
B3 B 0.3845 0.7561 0.7820
B4 B 0.1155 0.2561 0.7180
P1 P 0.7219 0.5531 0.4173
P2 P 0.7781 0.0531 0.0827
P3 P 0.7636 0.5458 0.1440
P4 P 0.2636 0.9542 0.6440
P5 P 0.2364 0.4542 0.8560
P6 P 0.2219 0.9469 0.9173
P7 P 0.2781 0.4469 0.5827
P8 P 0.7364 0.0458 0.3560
Pb1 Pb 0.2798 0.7989 0.1274
Pb2 Pb 0.7798 0.7011 0.6274
Pb3 Pb 0.7633 0.6942 0.9211
Pb4 Pb 0.2367 0.3058 0.0789
Pb5 Pb 0.7202 0.2011 0.8726
Pb6 Pb 0.7367 0.1942 0.5789
Pb7 Pb 0.2202 0.2989 0.3726
Pb8 Pb 0.2633 0.8058 0.4211

# CaSb2C, optimized geometry, DFT GGA-PBEsol
# formation energy (no corrections) = 1.20 eV per formula unit
# crystal system = tetragonal
# calculated total energy = -4.92 eV/atom
data_CaSb2C
_cell_length_a 6.2688
_cell_length_b 6.2688
_cell_length_c 6.2688
_cell_angle_alpha 102.83
_cell_angle_beta 112.89
_cell_angle_gamma 112.89
_symmetry_space_group_name_H-M 'P 1'
_symmetry_Int_Tables_number 1
_symmetry_space_group_name_Hall 'P 1'
loop_
_atom_site_label
_atom_site_type_symbol
_atom_site_fract_x
_atom_site_fract_y
_atom_site_fract_z
Sb1 Sb 0.6050 0.3750 0.4800
Sb2 Sb 0.3950 0.8750 0.7700
Sb3 Sb 0.1050 0.2300 0.6250
Sb4 Sb 0.8950 0.5200 0.1250
C1 C 0.0000 0.5000 0.5000
C2 C 0.5000 0.2500 0.7500
Ca1 Ca 0.0000 0.0000 0.0000
Ca2 Ca 0.5000 0.7500 0.2500

# Bi10Mo3O24, optimized geometry, DFT GGA-PBEsol
# formation energy (no corrections) = -57.28 eV per formula unit
# crystal system = monoclinic
# calculated total energy = -7.07 eV/atom
data_Bi10Mo3O24
_cell_length_a 5.6312
_cell_length_b 8.6424
_cell_length_c 12.1115
_cell_angle_alpha 95.24
_cell_angle_beta 103.44
_cell_angle_gamma 90.00
_symmetry_space_group_name_H-M 'P 1'
_symmetry_Int_Tables_number 1
_symmetry_space_group_name_Hall 'P 1'
loop_
_atom_site_label
_atom_site_type_symbol
_atom_site_fract_x
_atom_site_fract_y
_atom_site_fract_z
Bi1 Bi 0.2231 0.4533 0.6123
Bi2 Bi 0.6107 0.5467 0.3877
Bi3 Bi 0.7243 0.1827 0.5246
Bi4 Bi 0.5273 0.3223 0.0746
Bi5 Bi 0.9139 0.4058 0.8494
Bi6 Bi 0.1204 0.2497 0.2977
Bi7 Bi 0.8227 0.7503 0.7023
Bi8 Bi 0.1997 0.8173 0.4754
Bi9 Bi 0.4527 0.6777 0.9254
Bi10 Bi 0.0645 0.5942 0.1506
O1 O 0.5210 0.6839 0.5514
O2 O 0.4442 0.7724 0.1459
O3 O 0.2489 0.0592 0.1204
O4 O 0.5207 0.9178 0.7870
O5 O 0.1285 0.9408 0.8796
O6 O 0.6401 0.5873 0.7881
O7 O 0.4528 0.3483 0.4491
O8 O 0.2241 0.5000 0.0000
O9 O 0.7082 0.5000 0.0000
O10 O 0.3488 0.4188 0.2179
O11 O 0.0037 0.6517 0.5509
O12 O 0.8938 0.3508 0.6544
O13 O 0.0347 0.0036 0.6564
O14 O 0.4508 0.1669 0.6534
O15 O 0.8235 0.1632 0.9741
O16 O 0.2983 0.2276 0.8541
O17 O 0.8494 0.8368 0.0259
O18 O 0.3783 0.9964 0.3436
O19 O 0.2394 0.6492 0.3456
O20 O 0.9697 0.3161 0.4486
O21 O 0.8520 0.4127 0.2119
O22 O 0.7337 0.0822 0.2130
O23 O 0.7974 0.8331 0.3466
O24 O 0.1309 0.5812 0.7821
Mo1 Mo 0.5673 0.9280 0.2498
Mo2 Mo 0.3175 0.0720 0.7502
Mo3 Mo 0.0079 0.0000 0.0000

# CoTe2Pd, optimized geometry, DFT GGA-PBEsol
# formation energy (no corrections) = -0.01 eV per formula unit
# crystal system = tetragonal
# calculated total energy = -5.19 eV/atom
data_CoTe2Pd
_cell_length_a 5.7691
_cell_length_b 5.7691
_cell_length_c 7.0086
_cell_angle_alpha 114.30
_cell_angle_beta 114.30
_cell_angle_gamma 90.00
_symmetry_space_group_name_H-M 'P 1'
_symmetry_Int_Tables_number 1
_symmetry_space_group_name_Hall 'P 1'
loop_
_atom_site_label
_atom_site_type_symbol
_atom_site_fract_x
_atom_site_fract_y
_atom_site_fract_z
Co1 Co 0.7500 0.2500 0.5000
Co2 Co 0.5000 0.5000 0.0000
Pd1 Pd 0.0000 0.0000 0.0000
Pd2 Pd 0.2500 0.7500 0.5000
Te1 Te 0.6250 0.5946 0.7500
Te2 Te 0.1250 0.1554 0.7500
Te3 Te 0.8446 0.3750 0.2500
Te4 Te 0.4054 0.8750 0.2500

# BeCdP, optimized geometry, DFT GGA-PBEsol
# energy relative to the lowest polymorph listed for this composition = 0.363 eV per atom
# crystal system = tetragonal
# calculated formation energy = 0.3823 eV/atom
# calculated total energy = -3.28 eV/atom
data_BeCdP
_cell_length_a 2.8821
_cell_length_b 2.8821
_cell_length_c 5.9355
_cell_angle_alpha 104.05
_cell_angle_beta 104.05
_cell_angle_gamma 90.00
_symmetry_space_group_name_H-M 'P 1'
_symmetry_Int_Tables_number 1
_symmetry_space_group_name_Hall 'P 1'
loop_
_atom_site_label
_atom_site_type_symbol
_atom_site_fract_x
_atom_site_fract_y
_atom_site_fract_z
P1 P 0.3744 0.3744 0.7488
Be1 Be 0.9740 0.9740 0.9481
Cd1 Cd 0.6515 0.6515 0.3031

# RbAsAu3, optimized geometry, DFT GGA-PBEsol
# energy relative to the lowest polymorph listed for this composition = 0.000 eV per atom
# crystal system = cubic
# calculated formation energy = 0.0050 eV/atom
# calculated total energy = -3.58 eV/atom
data_RbAsAu3
_cell_length_a 5.0188
_cell_length_b 5.0188
_cell_length_c 5.0188
_cell_angle_alpha 90.00
_cell_angle_beta 90.00
_cell_angle_gamma 90.00
_symmetry_space_group_name_H-M 'P 1'
_symmetry_Int_Tables_number 1
_symmetry_space_group_name_Hall 'P 1'
loop_
_atom_site_label
_atom_site_type_symbol
_atom_site_fract_x
_atom_site_fract_y
_atom_site_fract_z
Au1 Au 0.0000 0.0000 0.5000
Au2 Au 0.0000 0.5000 0.0000
Au3 Au 0.5000 0.0000 0.0000
As1 As 0.0000 0.0000 0.0000
Rb1 Rb 0.5000 0.5000 0.5000

# Hg2MoAs, optimized geometry, DFT GGA-PBEsol
# crystal system = tetragonal
# calculated formation energy = 0.5149 eV/atom
# calculated total energy = -3.99 eV/atom
data_Hg2MoAs
_cell_length_a 4.1306
_cell_length_b 4.1306
_cell_length_c 5.1961
_cell_angle_alpha 113.42
_cell_angle_beta 113.42
_cell_angle_gamma 90.00
_symmetry_space_group_name_H-M 'P 1'
_symmetry_Int_Tables_number 1
_symmetry_space_group_name_Hall 'P 1'
loop_
_atom_site_label
_atom_site_type_symbol
_atom_site_fract_x
_atom_site_fract_y
_atom_site_fract_z
Hg1 Hg 0.7500 0.2500 0.5000
Hg2 Hg 0.0000 0.0000 0.0000
As1 As 0.2500 0.7500 0.5000
Mo1 Mo 0.5000 0.5000 0.0000

# CrNi6Au, optimized geometry, DFT GGA-PBEsol
# crystal system = orthorhombic
# calculated formation energy = 0.0437 eV/atom
# calculated total energy = -6.35 eV/atom
data_CrNi6Au
_cell_length_a 6.1527
_cell_length_b 6.1527
_cell_length_c 10.0958
_cell_angle_alpha 90.00
_cell_angle_beta 90.00
_cell_angle_gamma 109.54
_symmetry_space_group_name_H-M 'P 1'
_symmetry_Int_Tables_number 1
_symmetry_space_group_name_Hall 'P 1'
loop_
_atom_site_label
_atom_site_type_symbol
_atom_site_fract_x
_atom_site_fract_y
_atom_site_fract_z
Ni1 Ni 0.5000 0.5000 0.5000
Ni2 Ni 0.8609 0.6165 0.6326
Ni3 Ni 0.1391 0.3835 0.3674
Ni4 Ni 0.6146 0.8707 0.1189
Ni5 Ni 0.2557 0.7443 0.7614
Ni6 Ni 0.3854 0.1293 0.8811
Ni7 Ni 0.2557 0.7443 0.2386
Ni8 Ni 0.8707 0.6146 0.1189
Ni9 Ni 0.6165 0.8609 0.6326
Ni10 Ni 0.7443 0.2557 0.2386
Ni11 Ni 0.3835 0.1391 0.6326
Ni12 Ni 0.6146 0.8707 0.8811
Ni13 Ni 0.1293 0.3854 0.8811
Ni14 Ni 0.0000 0.0000 0.0000
Ni15 Ni 0.8707 0.6146 0.8811
Ni16 Ni 0.7443 0.2557 0.7614
Ni17 Ni 0.1391 0.3835 0.6326
Ni18 Ni 0.8609 0.6165 0.3674
Ni19 Ni 0.0000 0.0000 0.5000
Ni20 Ni 0.5000 0.5000 0.0000
Ni21 Ni 0.3854 0.1293 0.1189
Ni22 Ni 0.1293 0.3854 0.1189
Ni23 Ni 0.3835 0.1391 0.3674
Ni24 Ni 0.6165 0.8609 0.3674
Au1 Au 0.0000 0.0000 0.2476
Au2 Au 0.7549 0.2451 0.5000
Au3 Au 0.0000 0.0000 0.7524
Au4 Au 0.2451 0.7549 0.5000
Cr1 Cr 0.5000 0.5000 0.7483
Cr2 Cr 0.7467 0.2533 0.0000
Cr3 Cr 0.2533 0.7467 0.0000
Cr4 Cr 0.5000 0.5000 0.2517

# Mn2PtSe, optimized geometry, DFT GGA-PBEsol
# formation energy (no corrections) = 0.46 eV per formula unit
# crystal system = orthorhombic
# calculated total energy = -7.47 eV/atom
data_Mn2PtSe
_cell_length_a 3.3438
_cell_length_b 4.0377
_cell_length_c 5.2101
_cell_angle_alpha 112.80
_cell_angle_beta 108.72
_cell_angle_gamma 90.00
_symmetry_space_group_name_H-M 'P 1'
_symmetry_Int_Tables_number 1
_symmetry_space_group_name_Hall 'P 1'
loop_
_atom_site_label
_atom_site_type_symbol
_atom_site_fract_x
_atom_site_fract_y
_atom_site_fract_z
Mn1 Mn 0.7661 0.2661 0.5321
Mn2 Mn 0.9954 0.9954 0.9908
Se1 Se 0.2331 0.7331 0.4661
Pt1 Pt 0.5055 0.5055 0.0109